w | The following is a DFT calculation (PBE) of crystalline ZrNb3Re at its relaxed geometry.

POSCAR file:
```
ZrNb3Re
1.0
4.774 0.000 0.000
0.000 4.774 0.000
0.000 0.000 4.774
Zr Nb Re
1 3 1
direct
0.000 0.000 0.000
0.000 0.000 0.500
0.000 0.500 0.000
0.500 0.000 0.000
0.500 0.500 0.500
```

Magnetic moment in μB/cell: 0.00

---

x | The following is a DFT calculation (PBE) of crystalline ZrNb3Re at its relaxed geometry.

POSCAR file:
```
ZrNb3Re
1.0
4.866 0.000 0.000
0.000 4.866 0.000
0.000 0.000 4.866
Zr Nb Re
1 3 1
direct
0.000 0.000 0.000
0.000 0.500 0.500
0.500 0.000 0.500
0.500 0.500 0.000
0.500 0.500 0.500
```

Magnetic moment in μB/cell: 0.00

---

The data favor x; the next most stable structure lies 1180 meV per atom above it.

---

w | The following is a DFT calculation (PBE) of crystalline Nb4Rh at its relaxed geometry.

POSCAR file:
```
Nb4Rh
1.0
5.516 0.000 0.000
0.000 7.995 0.000
-1.663 0.000 4.150
Nb Rh
8 2
direct
0.180 0.160 0.088
0.180 0.840 0.588
0.224 0.404 0.597
0.224 0.596 0.097
0.776 0.404 0.903
0.776 0.596 0.403
0.820 0.160 0.412
0.820 0.840 0.912
0.500 0.111 0.750
0.500 0.889 0.250
```

Magnetic moment in μB/cell: 0.00

---

x | The following is a DFT calculation (PBE) of crystalline Nb4Rh at its relaxed geometry.

POSCAR file:
```
Nb4Rh
1.0
2.319 1.339 4.672
-2.319 1.339 4.672
0.000 -2.677 4.672
Nb Rh
4 1
direct
0.100 0.100 0.100
0.302 0.302 0.302
0.698 0.698 0.698
0.900 0.900 0.900
0.500 0.500 0.500
```

Magnetic moment in μB/cell: 0.00

---

The data favor x; the next most stable structure lies 253 meV per atom above it.